# NaSrLa3 GGA-PBEsol optimized geometry
# E_form ... 0.65 eV per atom
# Total energy ... -3.206 eV per atom
data_NaSrLa3
_cell_length_a 5.896
_cell_length_b 5.896
_cell_length_c 5.896
_cell_angle_alpha 90.00
_cell_angle_beta 90.00
_cell_angle_gamma 90.00
_space_group_name_H-M_alt 'P m -3 m'
_space_group_IT_number 221
_space_group_name_Hall '-P 4 2 3'
loop_
_atom_site_label
_atom_site_type_symbol
_atom_site_fract_x
_atom_site_fract_y
_atom_site_fract_z
Na1 Na 0.000 0.000 0.000
Sr1 Sr 0.500 0.500 0.500
La1 La 0.000 0.000 0.500